1.
A plane-wave DFT calculation with meta-GGA SCAN was carried out for a crystal of TcRuW relaxed with PBEsol.

Geometry as CIF:
```
data_TcRuW
_space_group_name_H-M_alt 'I 4 m m'
_space_group_IT_number 107
_space_group_name_Hall 'I 4 -2'
_cell_length_a 3.113
_cell_length_b 3.113
_cell_length_c 9.088
_cell_angle_alpha 90.00
_cell_angle_beta 90.00
_cell_angle_gamma 90.00
loop_
_atom_site_label
_atom_site_fract_x
_atom_site_fract_y
_atom_site_fract_z
Tc1 0.000 0.000 0.000
Ru1 0.000 0.000 0.314
W1 0.000 0.000 0.650
```

Results
DOS(E_F) in states/eV/cell: 5.97
Total energy in eV/cell: -277.95
V in Å³ per cell: 88.1

=====

2.
A plane-wave DFT calculation with meta-GGA SCAN was carried out for a crystal of TcRuW2 relaxed with PBEsol.

Geometry as CIF:
```
data_TcRuW2
_space_group_name_H-M_alt 'I 4/m m m'
_space_group_IT_number 139
_space_group_name_Hall '-I 4 2'
_cell_length_a 3.933
_cell_length_b 3.933
_cell_length_c 7.626
_cell_angle_alpha 90.00
_cell_angle_beta 90.00
_cell_angle_gamma 90.00
loop_
_atom_site_label
_atom_site_fract_x
_atom_site_fract_y
_atom_site_fract_z
Tc1 0.000 0.000 0.000
Ru1 0.000 0.000 0.500
W1 0.000 0.500 0.250
```

Results
DOS(E_F) in states/eV/cell: 7.78
Total energy in eV/cell: -417.27
V in Å³ per cell: 118.0

=====

3.
A plane-wave DFT calculation with meta-GGA SCAN was carried out for a crystal of Tc2RuW relaxed with PBEsol.

Geometry as CIF:
```
data_Tc2RuW
_space_group_name_H-M_alt 'P 4/m m m'
_space_group_IT_number 123
_space_group_name_Hall '-P 4 2'
_cell_length_a 3.835
_cell_length_b 3.835
_cell_length_c 3.881
_cell_angle_alpha 90.00
_cell_angle_beta 90.00
_cell_angle_gamma 90.00
loop_
_atom_site_label
_atom_site_fract_x
_atom_site_fract_y
_atom_site_fract_z
Tc1 0.000 0.500 0.000
Ru1 0.000 0.000 0.500
W1 0.500 0.500 0.500
```

Results
DOS(E_F) in states/eV/cell: 3.95
Total energy in eV/cell: -174.38
V in Å³ per cell: 57.1

=====

4.
A plane-wave DFT calculation with meta-GGA SCAN was carried out for a crystal of TcRu2W relaxed with PBEsol.

Geometry as CIF:
```
data_TcRu2W
_space_group_name_H-M_alt 'P 4/m m m'
_space_group_IT_number 123
_space_group_name_Hall '-P 4 2'
_cell_length_a 3.836
_cell_length_b 3.836
_cell_length_c 3.823
_cell_angle_alpha 90.00
_cell_angle_beta 90.00
_cell_angle_gamma 90.00
loop_
_atom_site_label
_atom_site_fract_x
_atom_site_fract_y
_atom_site_fract_z
Tc1 0.000 0.000 0.000
Ru1 0.000 0.500 0.500
W1 0.500 0.500 0.000
```

Results
DOS(E_F) in states/eV/cell: 3.95
Total energy in eV/cell: -174.34
V in Å³ per cell: 56.3